A plane-wave DFT calculation with meta-GGA SCAN was carried out for K2SmPCO7 at its PBEsol-relaxed geometry. Values from VASP.

Output
For the calculated total energy, the calculation gives -312.31 eV/cell. As for the formation energy from raw total energies: -2.5782 eV per atom.

```
&SYSTEM
  ibrav = 0, nat = 24, ntyp = 5
/
ATOMIC_SPECIES
K 39.10 K.upf
Sm 150.36 Sm.upf
P 30.97 P.upf
C 12.01 C.upf
O 16.00 O.upf
CELL_PARAMETERS angstrom
5.6190 0.0000 0.0716
0.0000 7.1861 0.0000
-0.3019 0.0000 9.9968
ATOMIC_POSITIONS angstrom
K 3.9158 3.4761 7.9307
K 3.9158 0.1169 7.9307
K 1.4012 3.7100 2.1377
K 1.4012 7.0692 2.1377
Sm 0.9305 5.3896 6.1565
Sm 4.3865 1.7965 3.9119
P 1.4672 1.7965 5.6988
P 3.8498 5.3896 4.3696
C 1.1435 5.3896 8.9499
C 4.1736 1.7965 1.1185
O 3.7071 1.7965 9.8702
O -0.0278 5.3896 8.3685
O 2.1651 5.3896 8.1064
O 0.8885 0.5219 6.3599
O 0.8885 3.0712 6.3599
O 4.2565 5.3896 5.8795
O 3.0224 1.7965 5.7975
O 2.2947 5.3896 4.2709
O 1.0606 1.7965 4.1889
O 4.4285 4.1150 3.7084
O 4.4285 6.6642 3.7084
O 3.1519 1.7965 1.9620
O 5.3448 1.7965 1.6999
O 1.6100 5.3896 0.1982
```